# 1
A relaxed YAgBr2 crystal. Source: Alexandria via LeMat-Bulk, functional PBE-GGA.

a = 8.761 Å, b = 8.761 Å, c = 8.761 Å
α = 27.33°, β = 27.33°, γ = 27.33°
Sites, in units of the cell vectors:
Br 0.225 0.225 0.225
Br 0.030 0.030 0.030
Y 0.490 0.490 0.490
Ag 0.755 0.755 0.755

ΔE to the lowest computed polymorph = 0.33 eV/f.u.
Uncorrected formation energy = -3.63 eV per formula unit
Size of the total moment = 0.0 μB per formula unit

***

# 2
A relaxed YAgBr2 crystal. Source: Alexandria via LeMat-Bulk, functional PBE-GGA.

a = 10.388 Å, b = 10.388 Å, c = 10.388 Å
α = 20.53°, β = 20.53°, γ = 20.53°
Sites, in units of the cell vectors:
Ag 0.000 0.000 0.000
Y 0.500 0.500 0.500
Br 0.896 0.896 0.896
Br 0.104 0.104 0.104

ΔE to the lowest computed polymorph = 0.63 eV/f.u.
Uncorrected formation energy = -3.34 eV per formula unit
Size of the total moment = 0.0 μB per formula unit

***

# 3
A relaxed Y2Ag2Br crystal. Source: Alexandria via LeMat-Bulk, functional PBE-GGA.

a = 8.249 Å, b = 8.249 Å, c = 3.771 Å
α = 90.00°, β = 90.00°, γ = 90.00°
Sites, in units of the cell vectors:
Y 0.664 0.836 0.500
Y 0.336 0.164 0.500
Y 0.836 0.336 0.500
Y 0.164 0.664 0.500
Br 0.000 0.000 0.000
Br 0.500 0.500 0.000
Ag 0.625 0.125 0.000
Ag 0.125 0.375 0.000
Ag 0.875 0.625 0.000
Ag 0.375 0.875 0.000

ΔE to the lowest computed polymorph = 0.69 eV/f.u.
Uncorrected formation energy = -1.83 eV per formula unit
Size of the total moment = 0.0 μB per formula unit

***

# 4
A relaxed YAgBr2 crystal. Source: Alexandria via LeMat-Bulk, functional PBE-GGA.

a = 9.914 Å, b = 9.914 Å, c = 7.618 Å
α = 49.41°, β = 49.41°, γ = 90.00°
Sites, in units of the cell vectors:
Br 0.875 0.737 0.750
Br 0.487 0.125 0.250
Br 0.375 0.513 0.750
Br 0.263 0.625 0.250
Y 0.250 0.750 0.500
Y 0.500 0.500 0.000
Ag 0.000 0.000 0.000
Ag 0.750 0.250 0.500

ΔE to the lowest computed polymorph = 0.67 eV/f.u.
Uncorrected formation energy = -3.29 eV per formula unit
Size of the total moment = 0.0 μB per formula unit

***

# 5
A relaxed YAgBr2 crystal. Source: Alexandria via LeMat-Bulk, functional PBE-GGA.

a = 5.911 Å, b = 6.104 Å, c = 3.717 Å
α = 92.23°, β = 70.45°, γ = 121.91°
Sites, in units of the cell vectors:
Ag 0.500 0.000 0.500
Br 0.000 0.000 0.000
Br 0.000 0.500 0.500
Y 0.500 0.500 0.000

ΔE to the lowest computed polymorph = 1.48 eV/f.u.
Uncorrected formation energy = -2.48 eV per formula unit
Size of the total moment = 0.0 μB per formula unit

***

# 6
A relaxed YAgBr2 crystal. Source: Alexandria via LeMat-Bulk, functional PBE-GGA.

a = 6.696 Å, b = 6.696 Å, c = 7.645 Å
α = 55.92°, β = 55.92°, γ = 32.13°
Sites, in units of the cell vectors:
Br 0.034 0.034 0.060
Br 0.162 0.162 0.395
Ag 0.796 0.796 0.679
Y 0.508 0.508 0.366

ΔE to the lowest computed polymorph = 0.00 eV/f.u.
Uncorrected formation energy = -3.96 eV per formula unit
Size of the total moment = 0.0 μB per formula unit

***

# 7
A relaxed YAgBr2 crystal. Source: Alexandria via LeMat-Bulk, functional PBE-GGA.

a = 3.717 Å, b = 3.717 Å, c = 8.360 Å
α = 90.00°, β = 90.00°, γ = 90.00°
Sites, in units of the cell vectors:
Y 0.000 0.000 0.546
Br 0.500 0.500 0.320
Br 0.000 0.000 0.895
Ag 0.500 0.500 0.739

ΔE to the lowest computed polymorph = 0.56 eV/f.u.
Uncorrected formation energy = -3.40 eV per formula unit
Size of the total moment = 0.0 μB per formula unit

***

# 8
A relaxed YAgBr2 crystal. Source: Alexandria via LeMat-Bulk, functional PBE-GGA.

a = 5.787 Å, b = 5.787 Å, c = 5.787 Å
α = 134.35°, β = 134.35°, γ = 66.54°
Sites, in units of the cell vectors:
Y 0.500 0.500 0.000
Ag 0.750 0.250 0.500
Br 0.250 0.750 0.500
Br 0.000 0.000 0.000

ΔE to the lowest computed polymorph = 1.57 eV/f.u.
Uncorrected formation energy = -2.39 eV per formula unit
Size of the total moment = 0.0 μB per formula unit

***

# 9
A relaxed YAgBr2 crystal. Source: Alexandria via LeMat-Bulk, functional PBE-GGA.

a = 9.270 Å, b = 9.270 Å, c = 9.270 Å
α = 24.86°, β = 24.86°, γ = 24.86°
Sites, in units of the cell vectors:
Ag 0.500 0.500 0.500
Br 0.103 0.103 0.103
Br 0.897 0.897 0.897
Y 0.000 0.000 0.000

ΔE to the lowest computed polymorph = 1.74 eV/f.u.
Uncorrected formation energy = -2.22 eV per formula unit
Size of the total moment = 0.0 μB per formula unit

***

# 10
A relaxed YAgBr2 crystal. Source: Alexandria via LeMat-Bulk, functional PBE-GGA.

a = 5.410 Å, b = 5.410 Å, c = 5.410 Å
α = 127.70°, β = 127.70°, γ = 77.11°
Sites, in units of the cell vectors:
Br 0.500 0.500 0.000
Br 0.000 0.000 0.000
Ag 0.750 0.250 0.500
Y 0.250 0.750 0.500

ΔE to the lowest computed polymorph = 1.19 eV/f.u.
Uncorrected formation energy = -2.77 eV per formula unit
Size of the total moment = 0.0 μB per formula unit

***

# 11
A relaxed YAgBr2 crystal. Source: Alexandria via LeMat-Bulk, functional PBE-GGA.

a = 8.011 Å, b = 8.011 Å, c = 8.011 Å
α = 153.07°, β = 141.91°, γ = 47.27°
Sites, in units of the cell vectors:
Br 0.895 0.895 0.000
Br 0.605 0.605 0.000
Ag 0.250 0.750 0.500
Y 0.750 0.250 0.500

ΔE to the lowest computed polymorph = 0.16 eV/f.u.
Uncorrected formation energy = -3.80 eV per formula unit
Size of the total moment = 0.0 μB per formula unit

***

# 12
A relaxed YAg4Br crystal. Source: Alexandria via LeMat-Bulk, functional PBE-GGA.

a = 5.681 Å, b = 5.681 Å, c = 5.681 Å
α = 60.00°, β = 60.00°, γ = 60.00°
Sites, in units of the cell vectors:
Ag 0.375 0.875 0.375
Ag 0.375 0.375 0.375
Ag 0.375 0.375 0.875
Ag 0.875 0.375 0.375
Y 0.000 0.000 0.000
Br 0.750 0.750 0.750

Uncorrected formation energy = -0.68 eV per formula unit
Size of the total moment = 0.0 μB per formula unit

***

# 13
A relaxed Y2Ag2Br crystal. Source: Alexandria via LeMat-Bulk, functional PBE-GGA.

a = 7.907 Å, b = 7.907 Å, c = 4.179 Å
α = 90.00°, β = 90.00°, γ = 90.00°
Sites, in units of the cell vectors:
Y 0.667 0.167 0.000
Y 0.833 0.667 0.000
Y 0.167 0.333 0.000
Y 0.333 0.833 0.000
Ag 0.126 0.626 0.500
Ag 0.374 0.126 0.500
Ag 0.874 0.374 0.500
Ag 0.626 0.874 0.500
Br 0.000 0.000 0.000
Br 0.500 0.500 0.000

ΔE to the lowest computed polymorph = 0.00 eV/f.u.
Uncorrected formation energy = -2.51 eV per formula unit
Size of the total moment = 0.0 μB per formula unit

***

# 14
A relaxed YAgBr2 crystal. Source: Alexandria via LeMat-Bulk, functional PBE-GGA.

a = 3.697 Å, b = 3.697 Å, c = 7.089 Å
α = 90.00°, β = 90.00°, γ = 90.00°
Sites, in units of the cell vectors:
Y 0.500 0.500 0.250
Ag 0.500 0.500 0.750
Br 0.000 0.000 0.475
Br 0.000 0.000 0.025

ΔE to the lowest computed polymorph = 0.99 eV/f.u.
Uncorrected formation energy = -2.97 eV per formula unit
Size of the total moment = 0.0 μB per formula unit

***

# 15
A relaxed YAgBr4 crystal. Source: Alexandria via LeMat-Bulk, functional PBE-GGA.

a = 4.149 Å, b = 8.084 Å, c = 7.384 Å
α = 115.75°, β = 90.00°, γ = 104.87°
Sites, in units of the cell vectors:
Y 0.000 0.000 0.000
Br 0.103 0.205 0.422
Br 0.897 0.795 0.578
Br 0.378 0.756 0.014
Br 0.622 0.244 0.986
Ag 0.500 0.000 0.500

ΔE to the lowest computed polymorph = 0.00 eV/f.u.
Uncorrected formation energy = -8.07 eV per formula unit
Size of the total moment = 0.0 μB per formula unit

***

# 16
A relaxed YAgBr4 crystal. Source: Alexandria via LeMat-Bulk, functional PBE-GGA.

a = 6.209 Å, b = 6.209 Å, c = 6.209 Å
α = 60.00°, β = 60.00°, γ = 60.00°
Sites, in units of the cell vectors:
Br 0.375 0.375 0.876
Br 0.876 0.375 0.375
Br 0.375 0.375 0.375
Br 0.375 0.876 0.375
Y 0.750 0.750 0.750
Ag 0.000 0.000 0.000

ΔE to the lowest computed polymorph = 8.89 eV/f.u.
Uncorrected formation energy = 0.83 eV per formula unit
Size of the total moment = 1.1 μB per formula unit

***

# 17
A relaxed YAgBr2 crystal. Source: Alexandria via LeMat-Bulk, functional PBE-GGA.

a = 7.811 Å, b = 7.811 Å, c = 7.811 Å
α = 154.07°, β = 142.28°, γ = 46.34°
Sites, in units of the cell vectors:
Br 0.987 0.987 0.000
Br 0.668 0.168 0.500
Ag 0.334 0.834 0.500
Y 0.512 0.512 0.000

ΔE to the lowest computed polymorph = 0.65 eV/f.u.
Uncorrected formation energy = -3.31 eV per formula unit
Size of the total moment = 0.0 μB per formula unit

***

# 18
A relaxed YAgBr2 crystal. Source: Alexandria via LeMat-Bulk, functional PBE-GGA.

a = 4.035 Å, b = 4.842 Å, c = 4.842 Å
α = 90.00°, β = 90.00°, γ = 90.00°
Sites, in units of the cell vectors:
Br 0.000 0.500 0.500
Br 0.000 0.000 0.000
Ag 0.500 0.000 0.500
Y 0.500 0.500 0.000

ΔE to the lowest computed polymorph = 1.50 eV/f.u.
Uncorrected formation energy = -2.46 eV per formula unit
Size of the total moment = 0.0 μB per formula unit

***

# 19
A relaxed YAgBr2 crystal. Source: Alexandria via LeMat-Bulk, functional PBE-GGA.

a = 3.790 Å, b = 4.068 Å, c = 8.638 Å
α = 76.77°, β = 90.00°, γ = 90.00°
Sites, in units of the cell vectors:
Y 0.000 0.281 0.562
Ag 0.500 0.699 0.730
Br 0.000 0.120 0.893
Br 0.500 0.400 0.315

ΔE to the lowest computed polymorph = 0.04 eV/f.u.
Uncorrected formation energy = -3.92 eV per formula unit
Size of the total moment = 0.0 μB per formula unit

***

# 20
A relaxed YAgBr3 crystal. Source: Alexandria via LeMat-Bulk, functional PBE-GGA.

a = 5.357 Å, b = 5.357 Å, c = 5.357 Å
α = 90.00°, β = 90.00°, γ = 90.00°
Sites, in units of the cell vectors:
Y 0.500 0.500 0.500
Br 0.000 0.500 0.000
Br 0.500 0.000 0.000
Br 0.000 0.000 0.500
Ag 0.000 0.000 0.000

ΔE to the lowest computed polymorph = 2.86 eV/f.u.
Uncorrected formation energy = -1.86 eV per formula unit
Size of the total moment = 1.0 μB per formula unit

***

# 21
A relaxed YAgBr2 crystal. Source: Alexandria via LeMat-Bulk, functional PBE-GGA.

a = 5.152 Å, b = 5.152 Å, c = 5.152 Å
α = 60.00°, β = 60.00°, γ = 60.00°
Sites, in units of the cell vectors:
Y 0.000 0.000 0.000
Br 0.250 0.250 0.250
Br 0.750 0.750 0.750
Ag 0.500 0.500 0.500

ΔE to the lowest computed polymorph = 1.36 eV/f.u.
Uncorrected formation energy = -2.60 eV per formula unit
Size of the total moment = 0.0 μB per formula unit

***

# 22
A relaxed YAgBr3 crystal. Source: Alexandria via LeMat-Bulk, functional PBE-GGA.

a = 5.595 Å, b = 5.595 Å, c = 5.595 Å
α = 90.00°, β = 90.00°, γ = 90.00°
Sites, in units of the cell vectors:
Br 0.500 0.000 0.000
Br 0.000 0.000 0.500
Br 0.000 0.500 0.000
Ag 0.500 0.500 0.500
Y 0.000 0.000 0.000

ΔE to the lowest computed polymorph = 0.00 eV/f.u.
Uncorrected formation energy = -4.72 eV per formula unit
Size of the total moment = 0.8 μB per formula unit

***

# 23
A relaxed Y3AgBr crystal. Source: Alexandria via LeMat-Bulk, functional PBE-GGA.

a = 5.309 Å, b = 5.309 Å, c = 5.309 Å
α = 90.00°, β = 90.00°, γ = 90.00°
Sites, in units of the cell vectors:
Y 0.000 0.000 0.500
Y 0.500 0.000 0.000
Y 0.000 0.500 0.000
Br 0.000 0.000 0.000
Ag 0.500 0.500 0.500

ΔE to the lowest computed polymorph = 0.00 eV/f.u.
Uncorrected formation energy = -0.23 eV per formula unit
Size of the total moment = 0.0 μB per formula unit

***

# 24
A relaxed YAgBr2 crystal. Source: Alexandria via LeMat-Bulk, functional PBE-GGA.

a = 4.002 Å, b = 7.610 Å, c = 7.597 Å
α = 46.46°, β = 90.00°, γ = 90.00°
Sites, in units of the cell vectors:
Br 0.000 0.110 0.110
Br 0.000 0.390 0.390
Ag 0.500 0.750 0.750
Y 0.500 0.250 0.250

ΔE to the lowest computed polymorph = 0.34 eV/f.u.
Uncorrected formation energy = -3.62 eV per formula unit
Size of the total moment = 0.0 μB per formula unit

***

# 25
A relaxed Zn2AgBr crystal. Source: Alexandria via LeMat-Bulk, functional PBE-GGA.

a = 4.811 Å, b = 4.811 Å, c = 7.568 Å
α = 55.86°, β = 55.86°, γ = 42.71°
Sites, in units of the cell vectors:
Br 0.250 0.250 0.250
Ag 0.750 0.750 0.750
Zn 0.970 0.970 0.898
Zn 0.530 0.530 0.602

ΔE to the lowest computed polymorph = 0.00 eV/f.u.
Uncorrected formation energy = -0.23 eV per formula unit
Size of the total moment = 0.0 μB per formula unit

***

# 26
A relaxed Zn2AgBr crystal. Source: Alexandria via LeMat-Bulk, functional PBE-GGA.

a = 3.287 Å, b = 3.287 Å, c = 7.312 Å
α = 90.00°, β = 90.00°, γ = 90.00°
Sites, in units of the cell vectors:
Ag 0.500 0.500 0.250
Zn 0.000 0.000 0.032
Zn 0.000 0.000 0.468
Br 0.500 0.500 0.750

ΔE to the lowest computed polymorph = 0.61 eV/f.u.
Uncorrected formation energy = 0.38 eV per formula unit
Size of the total moment = 0.0 μB per formula unit

***

# 27
A relaxed ZnAg2Br crystal. Source: Alexandria via LeMat-Bulk, functional PBE-GGA.

a = 5.322 Å, b = 5.322 Å, c = 5.322 Å
α = 131.79°, β = 131.79°, γ = 70.55°
Sites, in units of the cell vectors:
Br 0.250 0.750 0.500
Ag 0.500 0.500 0.000
Ag 0.000 0.000 0.000
Zn 0.750 0.250 0.500

ΔE to the lowest computed polymorph = 1.12 eV/f.u.
Uncorrected formation energy = 0.95 eV per formula unit
Size of the total moment = 0.0 μB per formula unit

***

# 28
A relaxed Zn2AgBr crystal. Source: Alexandria via LeMat-Bulk, functional PBE-GGA.

a = 5.567 Å, b = 5.567 Å, c = 5.567 Å
α = 145.44°, β = 114.79°, γ = 75.95°
Sites, in units of the cell vectors:
Br 0.235 0.735 0.500
Zn 0.989 0.989 0.000
Zn 0.757 0.257 0.500
Ag 0.519 0.519 0.000

ΔE to the lowest computed polymorph = 0.53 eV/f.u.
Uncorrected formation energy = 0.30 eV per formula unit
Size of the total moment = 0.0 μB per formula unit

***

# 29
A relaxed Zn2AgBr crystal. Source: Alexandria via LeMat-Bulk, functional PBE-GGA.

a = 4.780 Å, b = 4.780 Å, c = 6.447 Å
α = 81.00°, β = 81.00°, γ = 44.88°
Sites, in units of the cell vectors:
Zn 0.681 0.681 0.753
Zn 0.968 0.968 0.901
Br 0.455 0.455 0.210
Ag 0.396 0.396 0.637

ΔE to the lowest computed polymorph = 0.01 eV/f.u.
Uncorrected formation energy = -0.22 eV per formula unit
Size of the total moment = 0.0 μB per formula unit